VASP calculation (GGA-PBE) on a relaxed TiBiPd2 crystal.

a b c (Å): 3.384 3.384 6.570
angles (deg): 90.00 90.00 90.00
Space group P4/mmm (No. 123)
Inequivalent atoms, fractional coordinates:
Ti 0.000 0.000 0.000
Bi 0.000 0.000 0.500
Pd 0.500 0.500 0.205

Computed properties:
Uncorrected energy in eV for the cell shown: -23.89
Formation energy from the elements in meV/atom: -433
Fermi-level density of states in states/eV per atom: 0.331